# 1
Entry from OQMD via LeMat-Bulk: a relaxed HgGeTeO crystal (PBE-GGA). Values from VASP.

polymorph energy (0 for the lowest one) = 2.51 eV/f.u.
calculated volume = 21.22 A^3/atom
E_tot = -3.12 eV/atom

The structure in Quantum ESPRESSO input format:
```
&SYSTEM
  ibrav = 0, nat = 8, ntyp = 4
/
ATOMIC_SPECIES
Ge 72.64 Ge.upf
Hg 200.59 Hg.upf
O 16.00 O.upf
Te 127.60 Te.upf
CELL_PARAMETERS angstrom
4.0752 0.0000 0.0000
0.0000 4.0752 0.0000
0.0000 0.0000 10.2244
ATOMIC_POSITIONS angstrom
Ge 3.0564 1.0188 0.0000
Ge 1.0188 3.0564 0.0000
Hg 3.0564 3.0564 3.6532
Hg 1.0188 1.0188 6.5712
O 1.0188 1.0188 4.2686
O 3.0564 3.0564 5.9558
Te 1.0188 1.0188 2.2892
Te 3.0564 3.0564 7.9352
```

=====

# 2
Entry from OQMD via LeMat-Bulk: a relaxed HgGeTeO crystal (PBE-GGA). Values from VASP.

polymorph energy (0 for the lowest one) = 0.79 eV/f.u.
calculated volume = 23.78 A^3/atom
E_tot = -3.55 eV/atom

The structure in Quantum ESPRESSO input format:
```
&SYSTEM
  ibrav = 0, nat = 16, ntyp = 4
/
ATOMIC_SPECIES
Ge 72.64 Ge.upf
Hg 200.59 Hg.upf
O 16.00 O.upf
Te 127.60 Te.upf
CELL_PARAMETERS angstrom
6.2776 0.0000 0.0000
0.0000 9.7594 0.0000
0.0000 0.0000 6.2091
ATOMIC_POSITIONS angstrom
Ge 5.9794 3.0379 0.3220
Ge 2.8406 6.7215 0.3220
Ge 3.4370 3.0379 3.4265
Ge 0.2982 6.7215 3.4265
Hg 2.6894 0.8544 0.2367
Hg 5.8282 8.9051 0.2367
Hg 0.4493 0.8544 3.3412
Hg 3.5881 8.9051 3.3412
O 6.1878 1.2312 0.4819
O 3.0490 8.5282 0.4819
O 3.2286 1.2312 3.5864
O 0.0898 8.5282 3.5864
Te 3.1513 3.4652 0.5117
Te 0.0125 6.2942 0.5117
Te 6.2651 3.4652 3.6163
Te 3.1263 6.2942 3.6163
```

=====

# 3
Entry from OQMD via LeMat-Bulk: a relaxed HgGeTeO crystal (PBE-GGA). Values from VASP.

polymorph energy (0 for the lowest one) = 0.66 eV/f.u.
calculated volume = 26.20 A^3/atom
E_tot = -3.58 eV/atom

The structure in Quantum ESPRESSO input format:
```
&SYSTEM
  ibrav = 0, nat = 16, ntyp = 4
/
ATOMIC_SPECIES
Ge 72.64 Ge.upf
Hg 200.59 Hg.upf
O 16.00 O.upf
Te 127.60 Te.upf
CELL_PARAMETERS angstrom
7.2934 0.0000 0.0000
0.0000 7.5273 0.0000
0.0000 0.0000 7.6372
ATOMIC_POSITIONS angstrom
Ge 4.7053 1.7993 0.5839
Ge 2.5881 5.5629 3.2347
Ge 6.2348 5.7280 4.4025
Ge 1.0586 1.9644 7.0533
Hg 4.9512 5.4887 0.3742
Hg 2.3422 1.7251 3.4444
Hg 5.9889 2.0385 4.1928
Hg 1.3045 5.8022 7.2630
O 3.5509 0.9547 1.5146
O 3.7425 4.7183 2.3040
O 0.0958 6.5726 5.3332
O 7.1976 2.8090 6.1226
Te 6.9317 7.0323 1.4126
Te 0.3617 3.2687 2.4060
Te 4.0084 0.4950 5.2312
Te 3.2850 4.2586 6.2246
```

=====

# 4
Entry from OQMD via LeMat-Bulk: a relaxed HgGeTeO crystal (PBE-GGA). Values from VASP.

polymorph energy (0 for the lowest one) = 1.27 eV/f.u.
calculated volume = 25.61 A^3/atom
E_tot = -3.43 eV/atom

The structure in Quantum ESPRESSO input format:
```
&SYSTEM
  ibrav = 0, nat = 8, ntyp = 4
/
ATOMIC_SPECIES
Ge 72.64 Ge.upf
Hg 200.59 Hg.upf
O 16.00 O.upf
Te 127.60 Te.upf
CELL_PARAMETERS angstrom
5.2394 0.0000 0.0000
0.0000 5.2394 0.0000
0.0000 0.0000 7.4629
ATOMIC_POSITIONS angstrom
Ge 1.3099 1.3099 2.5379
Ge 3.9296 3.9296 4.9251
Hg 3.9296 3.9296 1.4473
Hg 1.3099 1.3099 6.0156
O 1.3099 1.3099 0.8395
O 3.9296 3.9296 6.6235
Te 3.9296 1.3099 3.7315
Te 1.3099 3.9296 3.7315
```

=====

# 5
Entry from OQMD via LeMat-Bulk: a relaxed HgGeTeO crystal (PBE-GGA). Values from VASP.

polymorph energy (0 for the lowest one) = 0.93 eV/f.u.
calculated volume = 23.64 A^3/atom
E_tot = -3.51 eV/atom

The structure in Quantum ESPRESSO input format:
```
&SYSTEM
  ibrav = 0, nat = 32, ntyp = 4
/
ATOMIC_SPECIES
Ge 72.64 Ge.upf
Hg 200.59 Hg.upf
O 16.00 O.upf
Te 127.60 Te.upf
CELL_PARAMETERS angstrom
-4.4370 -6.8312 -0.2071
4.0738 -2.4448 -6.6385
7.6651 -5.1791 6.6111
ATOMIC_POSITIONS angstrom
Ge -0.8665 -4.3117 -1.4653
Ge -0.9940 -8.8664 -4.8856
Ge 4.4729 -3.0048 1.3300
Ge 4.3455 -7.5595 -2.0902
Ge 2.9565 -6.8955 1.8558
Ge 2.8290 -11.4502 -1.5645
Ge 8.2960 -5.5886 4.6511
Ge 8.1685 -10.1434 1.2308
Hg 0.0241 -7.7709 -1.5364
Hg 2.5287 -8.2732 -4.8339
Hg 2.4854 -4.5194 -1.2234
Hg 4.9901 -5.0217 -4.5208
Hg 2.3119 -9.4334 4.2863
Hg 4.8165 -9.9357 0.9889
Hg 4.7733 -6.1819 4.5994
Hg 7.2779 -6.6842 1.3019
O 0.2609 -5.2635 -0.4944
O 0.3070 -9.5510 -3.9066
O 3.2300 -2.3551 0.2565
O 3.2761 -6.6425 -3.1557
O 4.0259 -7.8125 2.9212
O 4.0720 -12.1000 -0.4910
O 6.9950 -4.9041 3.6722
O 7.0411 -9.1915 0.2600
Te -1.0152 -1.8096 0.0406
Te 1.0563 -2.9787 -3.2770
Te 0.3785 -7.6658 3.0525
Te 2.4500 -8.8349 -0.2651
Te 4.8520 -5.6201 0.0307
Te 6.9235 -6.7893 -3.2870
Te 6.2457 -11.4763 3.0425
Te 8.3172 -12.6455 -0.2751
```

=====

# 6
Entry from OQMD via LeMat-Bulk: a relaxed HgGeTeO crystal (PBE-GGA). Values from VASP.

polymorph energy (0 for the lowest one) = 0.02 eV/f.u.
calculated volume = 23.57 A^3/atom
E_tot = -3.74 eV/atom

The structure in Quantum ESPRESSO input format:
```
&SYSTEM
  ibrav = 0, nat = 32, ntyp = 4
/
ATOMIC_SPECIES
Ge 72.64 Ge.upf
Hg 200.59 Hg.upf
O 16.00 O.upf
Te 127.60 Te.upf
CELL_PARAMETERS angstrom
-5.1091 3.1567 0.0444
-4.7744 -7.7542 1.8985
1.5314 2.2927 13.2151
ATOMIC_POSITIONS angstrom
Ge -2.0472 -0.5973 3.6198
Ge -4.5145 -4.4249 4.5698
Ge -4.5643 1.0371 3.9652
Ge -7.0317 -2.7905 4.9152
Ge -1.3206 0.4857 10.2429
Ge -3.7879 -3.3419 11.1929
Ge -3.8377 2.1201 10.5883
Ge -6.3050 -1.7075 11.5382
Hg -2.8237 -1.8602 1.4118
Hg -5.3243 -5.6673 2.3620
Hg -4.7818 0.6112 6.5814
Hg -7.2824 -3.1959 7.5317
Hg -1.0698 0.8911 7.6264
Hg -3.5704 -2.9160 8.5766
Hg -3.0279 3.3625 12.7960
Hg -5.5285 -0.4446 13.7463
O -2.7618 1.1061 3.5647
O -2.6723 -4.3013 4.4925
O -5.3139 2.6881 3.6080
O -5.2244 -2.7193 4.5357
O -3.1278 0.4145 10.6223
O -3.0383 -4.9929 11.5501
O -5.6799 1.9965 10.6656
O -5.5904 -3.4109 11.5933
Te -5.5518 -0.5411 1.8247
Te -8.0282 -4.3631 2.7747
Te -2.4730 -1.3347 6.3258
Te -4.9494 -5.1567 7.2759
Te -3.4028 2.8519 7.8822
Te -5.8792 -0.9701 8.8322
Te -0.3240 2.0583 12.3833
Te -2.8004 -1.7637 13.3334
```

=====

- Which formula does entry 6 have?
  HgGeTeO

=====

- polymorph energy (0 for the lowest one) of number 4 (HgGeTeO)?
  1.27 eV/f.u.